A geometry-optimized LaPm4S6 structure, computed with PBE.

Properties
The value obtained for the raw formation energy is -2.0845 eV/atom. As for the total magnetization: 0.000 μB/atom. The value obtained for the calculated volume is 540.19 Å³ per cell.

Lattice parameters (Å, degrees): 6.9436 6.9436 20.3238 90.00 90.00 146.54
Fractional positions:
1 La 0.1563 0.8437 0.7500
2 La 0.8437 0.1563 0.2500
3 Pm 0.0922 0.9078 0.1275
4 Pm 0.0922 0.9078 0.3725
5 Pm 0.3606 0.6394 0.0405
6 Pm 0.3606 0.6394 0.4595
7 Pm 0.6394 0.3606 0.5405
8 Pm 0.6394 0.3606 0.9595
9 Pm 0.9078 0.0922 0.6275
10 Pm 0.9078 0.0922 0.8725
11 S 0.0000 0.0000 0.0000
12 S 0.0000 0.0000 0.5000
13 S 0.1893 0.8107 0.2500
14 S 0.2683 0.7317 0.5905
15 S 0.2683 0.7317 0.9095
16 S 0.4517 0.5483 0.1671
17 S 0.4517 0.5483 0.3329
18 S 0.5483 0.4517 0.6671
19 S 0.5483 0.4517 0.8329
20 S 0.7317 0.2683 0.0905
21 S 0.7317 0.2683 0.4095
22 S 0.8107 0.1893 0.7500